A geometry-optimized LaPm2Nd2Ho structure. Source: the Alexandria database, functional PBE.

Lattice parameters (Å, degrees): 7.139 5.791 10.012 90.00 90.00 90.00
Positions (direct):
1 La 0.000 0.000 0.000
2 La 0.500 0.000 0.000
3 Pm 0.250 0.000 0.336
4 Pm 0.250 0.500 0.830
5 Pm 0.750 0.000 0.664
6 Pm 0.750 0.500 0.170
7 Nd 0.000 0.500 0.500
8 Nd 0.250 0.000 0.669
9 Nd 0.500 0.500 0.500
10 Nd 0.750 0.000 0.331
11 Ho 0.250 0.500 0.165
12 Ho 0.750 0.500 0.835

Summary:
Calculated total energy = -56.44 eV/cell
N(E_F) = 8.9 states/eV/f.u.
E_form = 0.0535 eV/atom